DFT (PBE-GGA) results for GeSeS2 after structural relaxation.

- Distance to the lowest polymorph of the same formula: 249 meV/atom
- Energy: -3.75 eV/atom
- Uncorrected formation energy: 1.3 eV per formula unit

a = 4.974 Å, b = 4.974 Å, c = 8.384 Å
α = 72.74°, β = 72.74°, γ = 90.00°
Fractional positions:
1 Ge 0.500 0.500 0.000
2 S 0.875 0.880 0.750
3 Se 0.000 0.000 0.000
4 S 0.120 0.625 0.250
5 S 0.630 0.125 0.250
6 S 0.375 0.370 0.750
7 Ge 0.250 0.750 0.500
8 Se 0.750 0.250 0.500